Entry 1:
This record from Alexandria via LeMat-Bulk describes a geometry-optimized Pa2CdMo structure. The functional is PBE-GGA.

Calculated values
SG: R-3m (166)
Calculated formation energy in eV/atom: 0.37

a = 3.131 Å, b = 3.131 Å, c = 11.410 Å
α = 82.11°, β = 82.11°, γ = 60.00°
Sites, in units of the cell vectors:
Cd1 0.000 0.000 0.000
Pa1 0.902 0.902 0.295
Mo1 0.500 0.500 0.500
Pa2 0.098 0.098 0.705

Entry 2:
This record from Alexandria via LeMat-Bulk describes a geometry-optimized PaCdMo structure. The functional is PBE-GGA.

Calculated values
SG: P4/nmm (129)
Calculated formation energy in eV/atom: 0.01

a = 3.155 Å, b = 3.155 Å, c = 12.913 Å
α = 90.00°, β = 90.00°, γ = 90.00°
Sites, in units of the cell vectors:
Cd1 0.500 0.000 0.085
Mo1 0.500 0.000 0.442
Pa1 0.500 0.000 0.717
Cd2 0.000 0.500 0.915
Pa2 0.000 0.500 0.283
Mo2 0.000 0.500 0.558

Entry 3:
This record from Alexandria via LeMat-Bulk describes a geometry-optimized Pa2CdMo structure. The functional is PBE-GGA.

Calculated values
SG: P4/mmm (123)
Calculated formation energy in eV/atom: 0.12

a = 3.220 Å, b = 3.220 Å, c = 8.947 Å
α = 90.00°, β = 90.00°, γ = 90.00°
Sites, in units of the cell vectors:
Pa1 0.000 0.000 0.211
Pa2 0.000 0.000 0.789
Cd1 0.500 0.500 0.500
Mo1 0.500 0.500 0.000

Entry 4:
This record from Alexandria via LeMat-Bulk describes a geometry-optimized CdMo2Pb structure. The functional is PBE-GGA.

Calculated values
SG: Cmmm (65)
Calculated formation energy in eV/atom: 0.82

a = 5.394 Å, b = 5.394 Å, c = 2.893 Å
α = 90.00°, β = 90.00°, γ = 114.81°
Sites, in units of the cell vectors:
Mo1 0.500 0.500 0.000
Mo2 0.000 0.000 0.000
Pb1 0.500 0.000 0.500
Cd1 0.000 0.500 0.500

Entry 5:
This record from Alexandria via LeMat-Bulk describes a geometry-optimized CdMo2Pb structure. The functional is PBE-GGA.

Calculated values
SG: Imm2 (44)
Calculated formation energy in eV/atom: 0.58

a = 5.714 Å, b = 5.714 Å, c = 5.714 Å
α = 145.98°, β = 129.02°, γ = 62.71°
Sites, in units of the cell vectors:
Cd1 0.238 0.738 0.500
Mo1 0.969 0.969 0.000
Pb1 0.514 0.514 0.000
Mo2 0.780 0.280 0.500

Entry 6:
This record from Alexandria via LeMat-Bulk describes a geometry-optimized CdMo2Pb structure. The functional is PBE-GGA.

Calculated values
SG: I4/mmm (139)
Calculated formation energy in eV/atom: 0.80

a = 5.387 Å, b = 5.387 Å, c = 5.387 Å
α = 135.38°, β = 135.38°, γ = 64.94°
Sites, in units of the cell vectors:
Mo1 0.000 0.000 0.000
Mo2 0.500 0.500 0.000
Cd1 0.750 0.250 0.500
Pb1 0.250 0.750 0.500

Density across the listed records, respectively: 11.64, 11.36, 12.00, 11.11, 10.59, 11.17 g/cm3.